Ba2BeIn PBE-GGA optimized geometry; energy relative to the lowest polymorph listed for this composition = 0.015 eV/atom; calculated formation energy = 0.28 eV per formula unit; crystal system = orthorhombic; symmetry = Amm2
1.0
4.6281 0.0000 0.0000
0.0000 4.3907 -0.0028
0.0000 2.2018 7.5769
Be In Ba
1 1 2
direct
0.0000 0.6618 0.5509 Be
0.5000 0.5871 0.7001 In
0.0000 0.9829 0.9087 Ba
0.5000 0.2682 0.3403 Ba

K3Na3MgI8 PBE-GGA optimized geometry; crystal system = monoclinic; E_tot = -0.100 hartree per atom; symmetry = C2/m
1.0
-4.4451 2.0080 7.9730
-4.7363 -3.6297 -7.2050
6.2081 -5.7925 4.9200
K I Na Mg
3 8 3 1
direct
0.0000 0.5000 0.0000 K
0.0000 0.0000 0.0000 K
0.5000 0.5000 0.0000 K
0.2586 0.5172 0.2760 I
0.2219 0.4438 0.7070 I
0.7630 0.9851 0.7069 I
0.2220 0.9851 0.7069 I
0.7414 0.4828 0.7240 I
0.7780 0.0149 0.2931 I
0.7781 0.5562 0.2930 I
0.2370 0.0149 0.2931 I
0.5000 0.0000 0.5000 Na
0.5000 0.5000 0.5000 Na
0.0000 0.5000 0.5000 Na
0.0000 0.0000 0.5000 Mg

ErScAgRu PBE-GGA optimized geometry; energy relative to the lowest polymorph listed for this composition = 0.000 eV/atom; calculated formation energy = -1.90 eV per formula unit; crystal system = tetragonal; symmetry = P4mm
1.0
3.3094 0.0000 0.0000
0.0000 3.3094 0.0000
0.0000 0.0000 7.2896
Er Ru Sc Ag
1 1 1 1
direct
0.5000 0.5000 0.7907 Er
0.0000 0.0000 0.5546 Ru
0.5000 0.5000 0.3506 Sc
0.0000 0.0000 0.0888 Ag

Nd2Mg16Al PBE-GGA optimized geometry; calculated formation energy = -1.09 eV per formula unit; crystal system = trigonal; symmetry = R3m
1.0
-3.0357 2.2644 6.7857
4.8316 -3.9139 4.6611
4.9547 5.8024 1.4738
Mg Nd Al
16 2 1
direct
0.9989 0.9989 0.5039 Mg
0.6488 0.6488 0.1597 Mg
0.0005 0.3012 0.6994 Mg
0.0906 0.0906 0.0906 Mg
0.3012 0.0005 0.6994 Mg
0.6994 0.0005 0.3012 Mg
0.0005 0.6994 0.3012 Mg
0.3012 0.6994 0.0005 Mg
0.3522 0.8416 0.3522 Mg
0.8416 0.3522 0.3522 Mg
0.5039 0.9989 0.9989 Mg
0.1597 0.6488 0.6488 Mg
0.6488 0.1597 0.6488 Mg
0.6994 0.3012 0.0005 Mg
0.3522 0.3522 0.8416 Mg
0.9989 0.5039 0.9989 Mg
0.3261 0.3261 0.3261 Nd
0.6783 0.6783 0.6783 Nd
0.8978 0.8978 0.8978 Al